## Ta2Pd2O5 (PBE-GGA)

Data for a relaxed structure of Ta2Pd2O5. Values from VASP.

Summary:
For the offset from the most stable computed form, the calculation gives 0 meV per atom. The space-group type is No. 123.

Quantum ESPRESSO input file:
```
&SYSTEM
  ibrav = 0, nat = 9, ntyp = 3
/
ATOMIC_SPECIES
Ta 180.95 Ta.upf
Pd 106.42 Pd.upf
O 16.00 O.upf
CELL_PARAMETERS angstrom
3.715 0.000 0.000
0.000 3.715 0.000
0.000 0.000 8.821
ATOMIC_POSITIONS crystal
Ta 0.000 0.000 0.220
Ta 0.000 0.000 0.780
Pd 0.500 0.500 0.000
Pd 0.500 0.500 0.500
O 0.000 0.000 0.000
O 0.000 0.500 0.288
O 0.000 0.500 0.712
O 0.500 0.000 0.288
O 0.500 0.000 0.712
```